The following is a DFT calculation (GGA-PBE) of a relaxed structure of Na2Cd3Pb.

Results
DFT formation energy ... -57 kJ/mol of formula units
ρ ... 6.0 g/cm3
Total DFT energy (no corrections) ... -1.614 eV per atom

The structure in extended XYZ format:
```
6
Lattice="-5.789 -0.985 0.683 3.431 -4.278 -2.210 3.578 0.246 5.279" Properties=species:S:1:pos:R:3 pbc="T T T"
Na 3.819 -2.695 3.387
Cd 1.789 0.123 2.639
Na -2.600 -2.322 0.365
Cd -1.105 -0.370 2.981
Pb 0.000 0.000 0.000
Cd 0.610 -2.508 1.876
```

The following is a DFT calculation (GGA-PBE) of a relaxed structure of Co3AsW.

Results
DFT formation energy ... 519 kJ/mol of formula units
ρ ... 9.7 g/cm3
Total DFT energy (no corrections) ... -6.709 eV per atom

The structure in extended XYZ format:
```
5
Lattice="-2.588 0.903 3.202 -1.213 -4.034 0.158 3.099 -0.824 2.736" Properties=species:S:1:pos:R:3 pbc="T T T"
As 0.000 0.000 0.000
Co -1.294 0.452 1.601
Co -0.606 -2.017 0.079
W -0.351 -1.978 3.048
Co 1.549 -0.412 1.368
```

The following is a DFT calculation (GGA-PBE) of a relaxed structure of RbZn2Au.

Results
DFT formation energy ... -80 kJ/mol of formula units
ρ ... 6.0 g/cm3
Total DFT energy (no corrections) ... -1.905 eV per atom

The structure in extended XYZ format:
```
4
Lattice="4.294 0.003 1.528 1.871 3.865 1.528 -0.083 -0.052 6.889" Properties=species:S:1:pos:R:3 pbc="T T T"
Au 4.085 2.563 8.774
Zn -0.036 -0.022 6.766
Zn 1.980 1.243 1.236
Rb 3.011 1.890 5.029
```

The following is a DFT calculation (GGA-PBE) of a relaxed structure of Hf2TiPb.

Results
DFT formation energy ... 1 kJ/mol of formula units
ρ ... 12.0 g/cm3
Total DFT energy (no corrections) ... -7.875 eV per atom

The structure in extended XYZ format:
```
4
Lattice="4.432 0.000 0.000 0.000 4.367 0.000 0.000 0.000 4.367" Properties=species:S:1:pos:R:3 pbc="T T T"
Pb 2.216 0.000 0.000
Ti 2.216 2.184 2.184
Hf 0.000 0.000 2.184
Hf 0.000 2.184 0.000
```

The following is a DFT calculation (GGA-PBE) of a relaxed structure of HfFeOs3.

Results
DFT formation energy ... 530 kJ/mol of formula units
ρ ... 15.5 g/cm3
Total DFT energy (no corrections) ... -9.322 eV per atom

The structure in extended XYZ format:
```
5
Lattice="-3.350 0.532 -2.836 -0.834 -4.338 0.171 -2.762 0.664 3.388" Properties=species:S:1:pos:R:3 pbc="T T T"
Os -1.381 0.332 1.694
Os -1.675 0.266 -1.418
Fe 0.000 0.000 0.000
Os -0.417 -2.169 0.085
Hf -3.473 -1.571 0.361
```

The following is a DFT calculation (GGA-PBE) of a relaxed structure of Dy3Cd2In2.

Results
DFT formation energy ... -252 kJ/mol of formula units
ρ ... 8.7 g/cm3
Total DFT energy (no corrections) ... -3.389 eV per atom

The structure in extended XYZ format:
```
7
Lattice="-2.172 4.168 0.823 -3.011 -1.500 -0.351 -1.243 -0.139 11.264" Properties=species:S:1:pos:R:3 pbc="T T T"
In -2.616 0.992 1.906
Dy -1.195 0.546 7.917
Cd -3.767 2.154 6.820
In -3.810 1.537 9.831
Dy 0.000 0.000 0.000
Cd -2.659 0.375 4.916
Dy -2.220 3.482 4.170
```

The following is a DFT calculation (GGA-PBE) of a relaxed structure of CeGaCoH.

Results
ρ ... 7.8 g/cm3
Total DFT energy (no corrections) ... -5.317 eV per atom

The structure in extended XYZ format:
```
4
Lattice="4.365 0.000 0.000 -2.182 3.781 0.006 0.000 -0.005 3.478" Properties=species:S:1:pos:R:3 pbc="T T T"
Co 0.000 1.799 2.820
Ga 2.182 3.060 2.822
Ce 2.182 0.543 1.078
H 0.000 1.804 1.080
```

The following is a DFT calculation (GGA-PBE) of a relaxed structure of Al4Ni.

Results
DFT formation energy ... -37 kJ/mol of formula units
ρ ... 3.2 g/cm3
Total DFT energy (no corrections) ... -4.228 eV per atom

The structure in extended XYZ format:
```
5
Lattice="-2.799 2.799 2.799 2.799 -2.799 2.799 2.799 2.799 -2.799" Properties=species:S:1:pos:R:3 pbc="T T T"
Ni 0.000 0.000 0.000
Al 1.400 1.400 1.400
Al 1.400 1.400 -1.400
Al 1.400 -1.400 1.400
Al -1.400 1.400 1.400
```

The following is a DFT calculation (GGA-PBE) of a relaxed structure of AlSi2Pt.

Results
ρ ... 7.5 g/cm3
Total DFT energy (no corrections) ... -5.348 eV per atom

The structure in extended XYZ format:
```
4
Lattice="7.689 0.044 0.026 7.058 3.052 0.026 7.058 1.482 2.669" Properties=species:S:1:pos:R:3 pbc="T T T"
Al 10.895 2.287 1.359
Si 0.003 0.001 0.000
Si 5.532 1.161 0.690
Pt 16.277 3.417 2.031
```

The following is a DFT calculation (GGA-PBE) of a relaxed structure of CeSmEuSc.

Results
DFT formation energy ... 95 kJ/mol of formula units
ρ ... 6.3 g/cm3
Total DFT energy (no corrections) ... -6.570 eV per atom

The structure in extended XYZ format:
```
4
Lattice="-4.835 -1.918 2.231 -0.180 -1.577 5.433 -2.822 3.144 3.767" Properties=species:S:1:pos:R:3 pbc="T T T"
Sm -3.919 -0.176 5.716
Ce -1.959 -0.088 2.858
Sc 0.000 0.000 0.000
Eu -5.878 -0.263 8.574
```

The following is a DFT calculation (GGA-PBE) of a relaxed structure of Hf2NiHgBi.

Results
DFT formation energy ... 821 kJ/mol of formula units
ρ ... 8.7 g/cm3
Total DFT energy (no corrections) ... -4.273 eV per atom

The structure in extended XYZ format:
```
5
Lattice="-0.255 -4.129 3.479 3.017 -2.985 -3.322 4.472 1.790 2.452" Properties=species:S:1:pos:R:3 pbc="T T T"
Hf -0.127 -2.064 1.739
Ni 3.617 -2.662 1.304
Bi 0.000 0.000 0.000
Hf 2.236 0.895 1.226
Hg 1.508 -1.493 -1.661
```

The following is a DFT calculation (GGA-PBE) of a relaxed structure of Sb2PtPb.

Results
ρ ... 10.9 g/cm3
Total DFT energy (no corrections) ... -4.291 eV per atom

The structure in extended XYZ format:
```
4
Lattice="5.654 -0.001 0.000 1.904 5.324 0.000 -3.779 -2.662 3.256" Properties=species:S:1:pos:R:3 pbc="T T T"
Pb 0.952 2.662 1.628
Sb 0.000 0.000 0.000
Pt 2.827 0.000 1.628
Sb 3.779 2.662 0.000
```

The following is a DFT calculation (GGA-PBE) of a relaxed structure of YSi2Os.

Results
ρ ... 7.6 g/cm3
Total DFT energy (no corrections) ... -7.561 eV per atom

The structure in extended XYZ format:
```
4
Lattice="-1.003 -3.536 2.129 2.997 -1.418 -0.944 2.164 1.847 4.086" Properties=species:S:1:pos:R:3 pbc="T T T"
Si 4.408 0.780 3.371
Si 3.333 -0.136 1.343
Os 3.369 -1.446 3.421
Y 0.789 -1.661 1.850
```

The following is a DFT calculation (GGA-PBE) of a relaxed structure of La3YIn.

Results
DFT formation energy ... -97 kJ/mol of formula units
ρ ... 6.4 g/cm3
Total DFT energy (no corrections) ... -4.997 eV per atom

The structure in extended XYZ format:
```
10
Lattice="-2.022 3.535 -2.815 -4.506 -1.436 1.432 -0.460 10.191 8.774" Properties=species:S:1:pos:R:3 pbc="T T T"
La -3.760 4.274 5.244
La -2.734 3.455 -0.874
Y -1.614 3.353 2.547
La -2.517 6.773 3.137
La -2.306 10.005 7.044
In -4.877 4.414 1.869
La -5.565 11.127 6.439
La -3.971 1.041 1.337
Y -4.663 7.694 5.834
In -3.421 10.168 3.696
```

The following is a DFT calculation (GGA-PBE) of a relaxed structure of AlSi2H8.

Results
ρ ... 1.5 g/cm3
Total DFT energy (no corrections) ... -3.531 eV per atom

The structure in extended XYZ format:
```
11
Lattice="4.504 -0.191 -0.158 -0.024 5.595 2.051 -0.024 3.040 5.126" Properties=species:S:1:pos:R:3 pbc="T T T"
H 0.378 2.364 1.965
H 3.261 0.633 0.526
Si 1.571 1.673 1.391
H 1.069 4.576 4.997
H 3.387 2.695 3.434
H 1.194 7.811 6.492
Si 2.885 6.771 5.628
H 4.078 6.080 5.054
H 3.387 3.869 2.022
H 1.069 5.749 3.585
Al 0.000 0.000 0.000
```

The following is a DFT calculation (GGA-PBE) of a relaxed structure of Ce5Zr.

Results
DFT formation energy ... 51 kJ/mol of formula units
ρ ... 8.5 g/cm3
Total DFT energy (no corrections) ... -6.281 eV per atom

The structure in extended XYZ format:
```
6
Lattice="3.241 0.000 0.000 -1.620 2.807 0.000 0.000 0.000 17.034" Properties=species:S:1:pos:R:3 pbc="T T T"
Ce 1.620 0.936 8.517
Ce 1.620 0.936 14.263
Zr 0.000 0.000 0.000
Ce 1.620 0.936 2.771
Ce 0.000 0.000 5.632
Ce 0.000 0.000 11.403
```

The following is a DFT calculation (GGA-PBE) of a relaxed structure of Ba2InAgH.

Results
ρ ... 4.3 g/cm3
Total DFT energy (no corrections) ... -2.708 eV per atom

The structure in extended XYZ format:
```
5
Lattice="-2.884 -1.489 -5.856 4.336 -5.029 -0.856 -2.669 -2.639 1.985" Properties=species:S:1:pos:R:3 pbc="T T T"
H 0.000 0.000 0.000
In -0.608 -4.579 -2.363
Ag -1.334 -1.319 0.993
Ba 2.168 -2.515 -0.428
Ba -1.442 -0.745 -2.928
```

The following is a DFT calculation (GGA-PBE) of a relaxed structure of Ta2Si2As.

Results
ρ ... 10.0 g/cm3
Total DFT energy (no corrections) ... -8.148 eV per atom

The structure in extended XYZ format:
```
5
Lattice="-0.223 3.158 -1.326 1.309 -1.150 -2.958 -5.856 -0.406 -4.426" Properties=species:S:1:pos:R:3 pbc="T T T"
Ta -3.972 0.894 -6.089
Si -2.768 1.878 -3.947
Si -2.002 -0.276 -4.763
Ta -0.798 0.709 -2.621
As 0.000 0.000 0.000
```

The following is a DFT calculation (GGA-PBE) of a relaxed structure of MnIrRhS.

Results
ρ ... 11.3 g/cm3
Total DFT energy (no corrections) ... -7.385 eV per atom

The structure in extended XYZ format:
```
4
Lattice="2.933 0.000 -0.022 0.000 3.586 0.000 -1.432 0.000 5.340" Properties=species:S:1:pos:R:3 pbc="T T T"
S -1.085 0.000 5.326
Rh 1.838 1.793 3.823
Mn 1.818 1.793 0.917
Ir 0.362 0.000 2.287
```

The following is a DFT calculation (GGA-PBE) of a relaxed structure of Al2BRh6.

Results
DFT formation energy ... -226 kJ/mol of formula units
ρ ... 8.6 g/cm3
Total DFT energy (no corrections) ... -6.734 eV per atom

The structure in extended XYZ format:
```
9
Lattice="4.281 0.000 -0.175 0.000 5.667 0.000 -1.937 -2.834 5.502" Properties=species:S:1:pos:R:3 pbc="T T T"
Rh 2.141 1.234 -0.087
Rh 2.278 -1.397 3.718
Rh 2.278 1.397 3.718
Rh 0.066 4.231 1.610
B 0.000 0.000 0.000
Al 2.218 2.834 1.756
Al 0.127 0.000 3.572
Rh 2.141 4.434 -0.087
Rh 0.066 1.437 1.610
```

The following is a DFT calculation (GGA-PBE) of a relaxed structure of CaTe2.

Results
ρ ... 4.8 g/cm3
Total DFT energy (no corrections) ... -3.664 eV per atom

The structure in extended XYZ format:
```
3
Lattice="6.407 -0.018 0.000 3.624 5.284 0.000 -5.016 -2.633 2.994" Properties=species:S:1:pos:R:3 pbc="T T T"
Te 8.766 4.602 0.000
Ca 5.016 2.633 0.000
Te 1.265 0.664 0.000
```

The following is a DFT calculation (GGA-PBE) of a relaxed structure of TbThCoPt.

Results
DFT formation energy ... -297 kJ/mol of formula units
ρ ... 12.2 g/cm3
Total DFT energy (no corrections) ... -7.069 eV per atom

The structure in extended XYZ format:
```
4
Lattice="3.807 0.000 0.000 0.000 4.076 0.000 -1.904 0.000 5.635" Properties=species:S:1:pos:R:3 pbc="T T T"
Co 0.000 0.000 4.538
Pt 1.904 2.038 0.945
Th 1.904 2.038 4.138
Tb 0.000 0.000 1.650
```

The following is a DFT calculation (GGA-PBE) of a relaxed structure of Li3Mg3In5.

Results
DFT formation energy ... 124 kJ/mol of formula units
ρ ... 3.8 g/cm3
Total DFT energy (no corrections) ... -2.085 eV per atom

The structure in extended XYZ format:
```
11
Lattice="-1.395 2.193 3.993 -7.352 1.972 -3.651 0.790 -7.248 4.256" Properties=species:S:1:pos:R:3 pbc="T T T"
Mg 0.447 -4.101 2.408
Mg -4.160 1.116 -2.066
Li -3.376 1.815 0.666
In -6.382 2.621 -0.826
In -5.335 -0.005 0.981
In -2.622 -3.078 3.617
Li -4.869 -2.257 2.381
Li -0.410 -1.544 3.547
In -0.087 -4.508 5.287
Mg -2.849 -2.291 0.263
In -2.186 -0.100 2.134
```

The following is a DFT calculation (GGA-PBE) of a relaxed structure of Pm3Mg2In3.

Results
DFT formation energy ... -288 kJ/mol of formula units
ρ ... 6.1 g/cm3
Total DFT energy (no corrections) ... -3.580 eV per atom

The structure in extended XYZ format:
```
16
Lattice="-3.110 -3.254 1.546 0.938 -0.440 -6.364 11.785 -10.107 2.436" Properties=species:S:1:pos:R:3 pbc="T T T"
Mg 5.026 -8.708 -0.893
Pm 1.205 -4.778 -0.309
Mg 8.859 -11.996 -0.101
Pm -0.706 -4.585 -3.748
Mg 0.755 -1.805 -2.282
In 2.509 -3.993 -3.357
Pm 2.429 -7.274 -3.100
In 10.721 -11.262 -2.136
In 3.639 -6.610 0.734
In -1.107 -2.539 -0.247
Pm 8.409 -9.022 -2.074
Pm 10.320 -9.216 1.365
Pm 7.184 -6.527 0.717
In 7.105 -9.808 0.974
Mg 4.588 -5.093 -1.489
In 5.974 -7.191 -3.117
```

The following is a DFT calculation (GGA-PBE) of a relaxed structure of TmSn2Cl8.

Results
ρ ... 3.2 g/cm3
Total DFT energy (no corrections) ... -3.825 eV per atom

The structure in extended XYZ format:
```
11
Lattice="-1.994 6.614 -1.855 -4.198 2.646 5.652 4.228 4.733 4.035" Properties=species:S:1:pos:R:3 pbc="T T T"
Cl -1.473 11.508 7.179
Sn -1.548 10.062 4.921
Cl -0.490 2.486 0.653
Sn -0.415 3.932 2.911
Tm 0.000 0.000 0.000
Cl -3.054 3.494 3.447
Cl 2.136 4.779 2.451
Cl -1.656 8.626 2.506
Cl -0.308 5.368 5.326
Cl -4.100 9.214 5.381
Cl 1.090 10.500 4.385
```

The following is a DFT calculation (GGA-PBE) of a relaxed structure of KCaOs2.

Results
DFT formation energy ... 727 kJ/mol of formula units
ρ ... 8.8 g/cm3
Total DFT energy (no corrections) ... -4.506 eV per atom

The structure in extended XYZ format:
```
4
Lattice="-3.493 -1.181 3.336 -4.001 2.901 0.544 -4.455 -1.597 -1.525" Properties=species:S:1:pos:R:3 pbc="T T T"
Os -8.961 0.092 1.766
K 0.000 0.000 0.000
Ca -5.974 0.061 1.177
Os -2.987 0.031 0.589
```

The following is a DFT calculation (GGA-PBE) of a relaxed structure of La4Pa3AgN8.

Results
ρ ... 9.2 g/cm3
Total DFT energy (no corrections) ... -8.628 eV per atom

The structure in extended XYZ format:
```
16
Lattice="7.171 0.000 0.000 0.000 7.272 0.066 -3.585 -3.581 5.074" Properties=species:S:1:pos:R:3 pbc="T T T"
Pa -1.793 1.845 2.570
N 0.000 0.254 2.713
N 5.186 1.915 0.220
N -1.601 1.776 4.919
N 1.984 1.915 0.220
N 1.601 1.776 4.919
La 0.000 0.000 0.000
N 3.585 0.316 2.485
La 1.793 -1.791 2.537
La -1.793 -1.791 2.537
N 0.000 3.375 2.654
La 3.585 0.000 0.000
Pa 1.793 1.845 2.570
Pa 3.585 3.636 0.033
Ag 0.000 3.636 0.033
N 3.585 3.437 2.426
```